A relaxed MgZrBiOs2 crystal. Source: Alexandria via LeMat-Bulk, functional PBE.

Calculated values
- Total magnetic moment: 0.00 μB per formula unit
- D(E_F): 3.8 states/eV/cell
- E: -28.81 eV per formula unit
- Calculated volume: 21.08 Å³ per atom

a b c (Å): 4.664 4.845 4.664
angles (deg): 90.00 90.00 90.00
Atoms (fractional coordinates):
Mg (0.000, 0.000, 0.000)
Os (0.000, 0.000, 0.500)
Os (0.500, 0.000, 0.000)
Bi (0.000, 0.500, 0.000)
Zr (0.500, 0.500, 0.500)

=====

A relaxed SmTm3Al2 crystal. Source: Alexandria via LeMat-Bulk, functional PBE.

Calculated values
- Total magnetic moment: 0.00 μB per formula unit
- D(E_F): 5.0 states/eV/cell
- Energy relative to the lowest polymorph listed for this composition: 0.0 meV/atom
- E: -27.17 eV per formula unit
- Calculated volume: 25.76 Å³ per atom

a b c (Å): 3.511 3.511 12.538
angles (deg): 90.00 90.00 90.00
Atoms (fractional coordinates):
Tm (0.000, 0.000, 0.294)
Sm (0.500, 0.500, 0.500)
Al (0.500, 0.500, 0.148)
Tm (0.000, 0.000, 0.706)
Tm (0.000, 0.000, 0.000)
Al (0.500, 0.500, 0.852)

=====

A relaxed MnBe2Tl crystal. Source: Alexandria via LeMat-Bulk, functional PBE.

Calculated values
- Total magnetic moment: 2.14 μB per formula unit
- D(E_F): 2.6 states/eV/cell
- Energy relative to the lowest polymorph listed for this composition: 133.7 meV/atom
- E: -16.90 eV per formula unit
- Calculated volume: 13.25 Å³ per atom

a b c (Å): 4.798 4.798 4.797
angles (deg): 135.79 135.76 64.31
Each line ends with the local moment (μB).
Atoms (fractional coordinates):
Be (0.000, 0.000, 0.000)  -0.08
Tl (0.250, 0.750, 0.500)  -0.08
Mn (0.500, 0.500, 0.000)  2.49
Be (0.751, 0.250, 0.500)  -0.08

=====

A relaxed Cs2RbTeI6 crystal. Source: Alexandria via LeMat-Bulk, functional PBE.

Calculated values
- Total magnetic moment: 1.00 μB per formula unit
- D(E_F): 0.0 states/eV/cell
- Energy relative to the lowest polymorph listed for this composition: 14.3 meV/atom
- ΔE_f (raw): -870 meV/atom
- E: -23.82 eV per formula unit
- Calculated volume: 57.27 Å³ per atom

a b c (Å): 9.072 9.072 9.465
angles (deg): 61.36 61.36 90.00
Each line ends with the local moment (μB).
Atoms (fractional coordinates):
I (0.771, 0.229, 0.000)  0.01
I (0.751, 0.751, 0.498)  0.13
I (0.771, 0.771, 0.000)  0.00
I (0.229, 0.771, 0.000)  0.01
Cs (0.750, 0.250, 0.500)  0.00
Cs (0.250, 0.750, 0.500)  0.00
Te (0.000, 0.000, 0.000)  0.32
Rb (0.500, 0.500, 0.000)  0.01
I (0.249, 0.249, 0.502)  0.13
I (0.229, 0.229, 0.000)  0.00

=====

A relaxed Hf2SnP crystal. Source: Alexandria via LeMat-Bulk, functional PBE.

Calculated values
- Total magnetic moment: 0.00 μB per formula unit
- D(E_F): 5.1 states/eV/cell
- Energy relative to the lowest polymorph listed for this composition: 557.6 meV/atom
- E: -30.31 eV per formula unit
- Calculated volume: 19.71 Å³ per atom

a b c (Å): 4.813 4.813 4.813
angles (deg): 60.00 60.00 60.00
Atoms (fractional coordinates):
Hf (0.750, 0.750, 0.750)
P (0.000, 0.000, 0.000)
Sn (0.500, 0.500, 0.500)
Hf (0.250, 0.250, 0.250)

=====

A relaxed Pm2Sm5Y4 crystal. Source: Alexandria via LeMat-Bulk, functional PBE.

Calculated values
- Total magnetic moment: 0.00 μB per formula unit
- D(E_F): 16.8 states/eV/cell
- Energy relative to the lowest polymorph listed for this composition: 0.0 meV/atom
- E: -57.57 eV per formula unit
- Calculated volume: 33.58 Å³ per atom

a b c (Å): 6.703 6.703 9.411
angles (deg): 75.31 75.31 66.43
Atoms (fractional coordinates):
Pm (0.145, 0.145, 0.878)
Pm (0.855, 0.855, 0.122)
Sm (0.347, 0.785, 0.232)
Sm (0.653, 0.215, 0.768)
Y (0.307, 0.307, 0.499)
Y (0.667, 0.667, 0.880)
Sm (0.000, 0.000, 0.500)
Sm (0.785, 0.347, 0.232)
Y (0.333, 0.333, 0.120)
Sm (0.215, 0.653, 0.768)
Y (0.693, 0.693, 0.501)

=====

A relaxed AlZnW2 crystal. Source: Alexandria via LeMat-Bulk, functional PBE.

Calculated values
- Total magnetic moment: 0.00 μB per formula unit
- D(E_F): 4.4 states/eV/cell
- Energy relative to the lowest polymorph listed for this composition: 161.3 meV/atom
- E: -30.03 eV per formula unit
- Calculated volume: 15.64 Å³ per atom

a b c (Å): 9.179 9.179 9.179
angles (deg): 17.72 17.72 17.72
Atoms (fractional coordinates):
W (0.500, 0.500, 0.500)
Al (0.750, 0.750, 0.750)
Zn (0.250, 0.250, 0.250)
W (0.000, 0.000, 0.000)

=====

A relaxed Ti4AlGa2 crystal. Source: Alexandria via LeMat-Bulk, functional PBE.

Calculated values
- Total magnetic moment: 0.00 μB per formula unit
- D(E_F): 13.5 states/eV/cell
- E: -42.95 eV per formula unit
- Calculated volume: 16.95 Å³ per atom

a b c (Å): 7.348 5.265 6.848
angles (deg): 90.00 116.41 90.00
Atoms (fractional coordinates):
Ti (0.617, 0.999, 0.222)
Ti (0.971, 0.250, 0.589)
Ti (0.029, 0.750, 0.411)
Ga (0.770, 0.750, 0.981)
Ti (0.842, 0.250, 0.022)
Al (0.402, 0.750, 0.422)
Ti (0.383, 0.001, 0.778)
Ga (0.808, 0.750, 0.624)
Ti (0.383, 0.499, 0.778)
Ga (0.192, 0.250, 0.376)
Al (0.598, 0.250, 0.578)
Ga (0.230, 0.250, 0.019)
Ti (0.158, 0.750, 0.978)
Ti (0.617, 0.501, 0.222)

=====

Among the records above, which one has the highest E?
MnBe2Tl

=====

Repeat the fourth record exactly.
A relaxed Cs2RbTeI6 crystal. Source: Alexandria via LeMat-Bulk, functional PBE.

Calculated values
- Total magnetic moment: 1.00 μB per formula unit
- D(E_F): 0.0 states/eV/cell
- Energy relative to the lowest polymorph listed for this composition: 14.3 meV/atom
- ΔE_f (raw): -870 meV/atom
- E: -23.82 eV per formula unit
- Calculated volume: 57.27 Å³ per atom

a b c (Å): 9.072 9.072 9.465
angles (deg): 61.36 61.36 90.00
Each line ends with the local moment (μB).
Atoms (fractional coordinates):
I (0.771, 0.229, 0.000)  0.01
I (0.751, 0.751, 0.498)  0.13
I (0.771, 0.771, 0.000)  0.00
I (0.229, 0.771, 0.000)  0.01
Cs (0.750, 0.250, 0.500)  0.00
Cs (0.250, 0.750, 0.500)  0.00
Te (0.000, 0.000, 0.000)  0.32
Rb (0.500, 0.500, 0.000)  0.01
I (0.249, 0.249, 0.502)  0.13
I (0.229, 0.229, 0.000)  0.00